1.
## Tl2TePt2 (PBE)

Data for a geometry-optimized Tl2TePt2 structure.

a b c (Å): 3.8167 3.8167 8.8828
angles (deg): 77.59 77.59 90.00
Fractional coordinates of all 5 atoms:
Te: 0.0000 0.0000 0.0000
Pt: 0.7500 0.2500 0.5000
Tl: 0.6167 0.6167 0.7667
Pt: 0.2500 0.7500 0.5000
Tl: 0.3833 0.3833 0.2333

- energy above the most stable polymorph in this dataset (kJ/mol of formula units) = 26.6
- total magnetic moment (μB/f.u.) = 0.000
- ΔE_f (raw) (meV/atom) = 76
- N(E_F) (states/eV per atom) = 0.743
- electronic total energy (Ry per atom) = -0.28779
- SG = I4/mmm, No. 139

2.
## Ca2Mg2Bi2H (PBE)

Data for a geometry-optimized Ca2Mg2Bi2H structure.

a b c (Å): 4.6010 4.6010 8.7059
angles (deg): 105.32 105.32 90.00
Fractional coordinates of all 7 atoms:
Bi: 0.6340 0.6340 0.2680
H: 0.0000 0.0000 0.0000
Bi: 0.3660 0.3660 0.7320
Ca: 0.8364 0.8364 0.6728
Ca: 0.1636 0.1636 0.3272
Mg: 0.0000 0.5000 0.0000
Mg: 0.5000 0.0000 0.0000

- total magnetic moment (μB/f.u.) = 0.000
- N(E_F) (states/eV per atom) = 0.321
- electronic total energy (Ry per atom) = -0.23001
- SG = I4/mmm, No. 139

3.
## HfTlTe2 (PBE)

Data for a geometry-optimized HfTlTe2 structure.

a b c (Å): 3.8402 7.3874 8.5868
angles (deg): 88.80 89.99 105.06
Fractional coordinates of all 8 atoms:
Tl: 0.4551 0.1943 0.3009
Te: 0.8490 0.9818 0.5861
Tl: 0.7083 0.7007 0.2513
Hf: 0.4740 0.2318 0.7355
Hf: 0.6897 0.6630 0.8165
Te: 0.0533 0.3908 0.9722
Te: 0.1104 0.5040 0.5798
Te: 0.3146 0.9130 0.9659

- total magnetic moment (μB/f.u.) = 0.000
- ΔE_f (raw) (meV/atom) = -575
- N(E_F) (states/eV per atom) = 0.396
- electronic total energy (Ry per atom) = -0.38412
- SG = C2/m, No. 12

4.
## KZrNb2 (PBE)

Data for a geometry-optimized KZrNb2 structure.

a b c (Å): 4.6407 4.6407 10.8028
angles (deg): 77.60 77.60 90.00
Fractional coordinates of all 8 atoms:
Nb: 0.3750 0.0068 0.7500
K: 0.5000 0.5000 0.0000
Nb: 0.8750 0.2432 0.7500
Nb: 0.9932 0.1250 0.2500
Nb: 0.7568 0.6250 0.2500
Zr: 0.7500 0.2500 0.5000
K: 0.2500 0.7500 0.5000
Zr: 0.0000 0.0000 0.0000

- energy above the most stable polymorph in this dataset (kJ/mol of formula units) = 72.0
- total magnetic moment (μB/f.u.) = 0.000
- N(E_F) (states/eV per atom) = 1.211
- electronic total energy (Ry per atom) = -0.43504
- E_form (meV/atom) = 1527
- SG = I-42d, No. 122

5.
## Pm2MgRh2 (PBE)

Data for a geometry-optimized Pm2MgRh2 structure.

a b c (Å): 4.2940 5.6569 5.6582
angles (deg): 64.76 67.70 67.69
Fractional coordinates of all 5 atoms:
Pm: 0.7016 0.7984 0.2983
Pm: 0.2984 0.2016 0.7017
Mg: 0.5000 0.5000 0.0000
Rh: 0.9999 0.7686 0.7316
Rh: 0.0001 0.2314 0.2684

- energy above the most stable polymorph in this dataset (kJ/mol of formula units) = 0.0
- total magnetic moment (μB/f.u.) = 0.000
- N(E_F) (states/eV per atom) = 0.593
- electronic total energy (Ry per atom) = -0.42772
- E_form (meV/atom) = -660
- SG = Immm, No. 71

6.
## Pr3YIn (PBE)

Data for a geometry-optimized Pr3YIn structure.

a b c (Å): 4.9408 4.9449 13.2837
angles (deg): 90.00 79.28 90.00
Fractional coordinates of all 10 atoms:
Pr: 0.8778 0.7500 0.8927
Y: 0.4760 0.7500 0.6964
In: 0.6708 0.7500 0.3067
In: 0.9776 0.2500 0.6933
Pr: 0.5734 0.2500 0.5015
Y: 0.1724 0.2500 0.3036
Pr: 0.3800 0.2500 0.8884
Pr: 0.2684 0.7500 0.1116
Pr: 0.0749 0.7500 0.4985
Pr: 0.7705 0.2500 0.1073

- energy above the most stable polymorph in this dataset (kJ/mol of formula units) = 0.0
- total magnetic moment (μB/f.u.) = 0.000
- N(E_F) (states/eV per atom) = 1.227
- electronic total energy (Ry per atom) = -0.36003
- E_form (meV/atom) = -190
- SG = Cmcm, No. 63

7.
## NaTaCu2S (PBE)

Data for a geometry-optimized NaTaCu2S structure.

a b c (Å): 4.9540 4.6914 4.9540
angles (deg): 90.00 90.00 90.00
Fractional coordinates of all 5 atoms:
Ta: 0.0000 0.0000 0.0000
Cu: 0.0000 0.0000 0.5000
S: 0.0000 0.5000 0.0000
Na: 0.5000 0.5000 0.5000
Cu: 0.5000 0.0000 0.0000

- total magnetic moment (μB/f.u.) = 0.000
- ΔE_f (raw) (meV/atom) = 330
- N(E_F) (states/eV per atom) = 0.469
- electronic total energy (Ry per atom) = -0.35049
- SG = P4/mmm, No. 123

8.
## TaTcCl (PBE)

Data for a geometry-optimized TaTcCl structure.

a b c (Å): 3.2583 3.2583 6.3700
angles (deg): 90.00 90.00 120.00
Fractional coordinates of all 3 atoms:
Ta: 0.6667 0.3333 0.3512
Tc: 0.3333 0.6667 0.6058
Cl: 0.0000 0.0000 0.0430

- energy above the most stable polymorph in this dataset (kJ/mol of formula units) = 0.0
- total magnetic moment (μB/f.u.) = 0.000
- ΔE_f (raw) (meV/atom) = -134
- N(E_F) (states/eV per atom) = 0.224
- electronic total energy (Ry per atom) = -0.59943
- SG = P3m1, No. 156